AlCr2MoO6 | PBE with a Hubbard U | optimized geometry

Values from the calculation:
Fermi-level density of states (states/eV/cell): 0.0
Energy (eV/atom): -7.601

Cell: 5.1188 5.1188 13.8176 Å, 90.00 90.00 120.00°
With the nearest neighbours (Å) after each atom.
Space group R3 (No. 146, hexagonal axes)
One atom of each set of equivalent atoms:
Al 0.0000 0.0000 0.0000 x3  6 O 1.91-1.98
Cr 0.0000 0.0000 0.3033 x3  6 O 2.00-2.09
Cr 0.0000 0.0000 0.8008 x3  6 O 2.03-2.06
Mo 0.0000 0.0000 0.4999 x3  6 O 2.12-2.18
O 0.0118 0.7164 0.9047 x9  1 Al 1.98, 2 Cr 2.00-2.06, 1 Mo 2.12
O 0.0174 0.3393 0.0635 x9  1 Al 1.91, 2 Cr 2.03-2.09